Entry 1:
A geometry-optimized HoSeO3F structure. Source: the Alexandria database, functional PBE.

Cell: 6.6357 6.9747 7.2415 Å, 90.00 98.43 90.00°
With the nearest neighbours (Å) after each atom.
Fractional positions:
1 Ho 0.1397 0.1413 0.3250  2 F 2.20-2.21, 5 O 2.29-2.44
2 Ho 0.1397 0.3587 0.8250  2 F 2.20-2.21, 5 O 2.29-2.44
3 Ho 0.8603 0.6413 0.1750  2 F 2.20-2.21, 5 O 2.29-2.44
4 Ho 0.8603 0.8587 0.6750  2 F 2.20-2.21, 5 O 2.29-2.44
5 Se 0.3505 0.6211 0.2885  3 O 1.71-1.78
6 Se 0.3505 0.8789 0.7885  3 O 1.71-1.78
7 Se 0.6495 0.1211 0.2115  3 O 1.71-1.78
8 Se 0.6495 0.3789 0.7115  3 O 1.71-1.78
9 O 0.1734 0.0293 0.6478  1 Se 1.78
10 O 0.1734 0.4707 0.1478  1 Se 1.78
11 O 0.1741 0.6921 0.7783  1 Se 1.75
12 O 0.1741 0.8079 0.2783  1 Se 1.75
13 O 0.4849 0.1879 0.3608  1 Se 1.71
14 O 0.4849 0.3121 0.8608  1 Se 1.71
15 O 0.5151 0.6879 0.1392  1 Se 1.71
16 O 0.5151 0.8121 0.6392  1 Se 1.71
17 O 0.8259 0.1921 0.7217  1 Se 1.75
18 O 0.8259 0.3079 0.2217  1 Se 1.75
19 O 0.8266 0.5293 0.8522  1 Se 1.78
20 O 0.8266 0.9707 0.3522  1 Se 1.78
21 F 0.1672 0.1197 0.0266  2 Ho 2.20-2.21
22 F 0.1672 0.3803 0.5266  2 Ho 2.20-2.21
23 F 0.8328 0.6197 0.4734  2 Ho 2.20-2.21
24 F 0.8328 0.8803 0.9734  2 Ho 2.20-2.21

Values from the calculation:
- DOS at the Fermi energy: 0.00 states/eV/cell
- Formation energy (no corrections): -2.399 eV per atom
- SG: P2_1/c
- Size of the total moment: 0.00 μB per formula unit

***

Entry 2:
A geometry-optimized CoNi2SeS structure. Source: the Alexandria database, functional PBE.

Cell: 4.5739 4.5739 3.8883 Å, 90.00 90.00 90.00°
With the nearest neighbours (Å) after each atom.
Fractional positions:
1 Co 0.0000 0.0000 0.0000  2 S 1.94
2 Ni 0.0000 0.5000 0.0000  2 Co 2.29
3 Ni 0.5000 0.0000 0.0000  2 Co 2.29
4 Se 0.5000 0.5000 0.5000  8 Ni 3.00, 4 S 3.23
5 S 0.0000 0.0000 0.5000  2 Co 1.94

Values from the calculation:
- DOS at the Fermi energy: 6.84 states/eV/cell
- Formation energy (no corrections): 0.668 eV per atom
- SG: P4/mmm
- Size of the total moment: 1.35 μB per formula unit

***

Entry 3:
A geometry-optimized LiPt2Cl structure. Source: the Alexandria database, functional PBE.

Cell: 6.6946 6.6946 3.7375 Å, 90.51 90.51 27.12°
With the nearest neighbours (Å) after each atom.
Fractional positions:
1 Li 0.0000 0.0000 0.0000  4 Cl 2.44
2 Pt 0.2810 0.2810 0.2485  4 Pt 2.56-2.58
3 Pt 0.7190 0.7190 0.7515  4 Pt 2.56-2.58
4 Cl 0.5000 0.5000 0.5000  4 Li 2.44

Values from the calculation:
- DOS at the Fermi energy: 3.04 states/eV/cell
- Formation energy (no corrections): -0.334 eV per atom
- Excess energy over the best structure of this formula in the dataset: 0.0 meV/atom
- SG: C2/m
- Size of the total moment: 0.00 μB per formula unit